1.
Compound: ZrTi3Te
Source: Alexandria via LeMat-Bulk
Functional: PBE
Structure: optimized geometry

## Properties
Total magnetization in μB/atom: 0.000
Relative energy among the computed polymorphs in meV/atom: 0.0
Raw formation energy in kcal/mol of atoms: -5.6

a b c (Å): 9.1258 3.5279 12.2632
angles (deg): 90.00 90.00 90.00
Last column: nearest neighbours and their distance in Å.
Space group Pnma (No. 62)
Inequivalent atoms, fractional coordinates:
Zr  0.1463  0.2500  0.0055  2 Te 2.98, 5 Ti 3.00-3.29, 2 Zr 3.20
Ti  0.0702  0.7500  0.7814  2 Te 2.75-2.83, 4 Ti 2.84-2.92
Ti  0.0718  0.2500  0.5916  3 Ti 2.70-2.92, 3 Te 2.75-2.76
Ti  0.1728  0.7500  0.2029  3 Ti 2.70-2.84, 2 Te 2.76, 2 Zr 3.00
Te  0.1561  0.2500  0.3760  7 Ti 2.75-2.83, 2 Zr 2.98

***

2.
Compound: Ac2CdRh2
Source: Alexandria via LeMat-Bulk
Functional: PBE
Structure: optimized geometry

## Properties
Total magnetization in μB/atom: 0.000
Relative energy among the computed polymorphs in meV/atom: 5.0

a b c (Å): 7.9696 7.9696 4.0461
angles (deg): 90.00 90.00 90.00
Last column: nearest neighbours and their distance in Å.
Space group P4/mbm (No. 127)
Inequivalent atoms, fractional coordinates:
Ac  0.1675  0.3325  0.0000  6 Rh 3.01-3.16
Cd  0.0000  0.0000  0.5000  4 Rh 3.10
Rh  0.1345  0.6345  0.5000  6 Ac 3.01-3.16, 1 Rh 3.03, 2 Cd 3.10

***

3.
Compound: CrAgOs2
Source: Alexandria via LeMat-Bulk
Functional: PBE
Structure: optimized geometry

## Properties
Total magnetization in μB/atom: 0.007
Relative energy among the computed polymorphs in meV/atom: 244.4

a b c (Å): 2.7241 3.7219 5.7941
angles (deg): 90.00 90.00 90.00
Last column: nearest neighbours and their distance in Å.
Space group Pmmm (No. 47)
Inequivalent atoms, fractional coordinates:
Cr  0.0000  0.0000  0.0000  8 Os 2.62, 2 Cr 2.72, 2 Ag 2.90
Ag  0.0000  0.0000  0.5000  2 Ag 2.72, 8 Os 2.84, 2 Cr 2.90
Os  0.5000  0.5000  0.2130  3 Os 2.47-2.72, 4 Cr 2.62

***

4.
Compound: Tm8OsRu2
Source: Alexandria via LeMat-Bulk
Functional: PBE
Structure: optimized geometry

## Properties
Total magnetization in μB/atom: 0.000
Relative energy among the computed polymorphs in meV/atom: 62.2

a b c (Å): 8.2172 12.4560 5.7322
angles (deg): 90.00 109.26 90.00
Last column: nearest neighbours and their distance in Å.
Space group Cm (No. 8)
Inequivalent atoms, fractional coordinates:
Tm  0.0000  0.0000  0.0000  1 Os 2.91, 2 Ru 2.93
Tm  0.0632  0.3716  0.7698  2 Ru 2.75-2.77, 1 Os 3.02
Tm  0.1565  0.1282  0.5833  2 Ru 2.77-2.80, 1 Os 3.02
Tm  0.2169  0.5000  0.3726  1 Os 2.88, 2 Ru 2.98
Tm  0.3534  0.2152  0.1832  1 Os 2.79, 2 Ru 3.09-3.12
Os  0.3569  0.0000  0.3224  8 Tm 2.79-3.02
Ru  0.3652  0.3115  0.6917  6 Tm 2.75-2.98

***

5.
Compound: Rb2CaInI5
Source: Alexandria via LeMat-Bulk
Functional: PBE
Structure: optimized geometry

## Properties
Total magnetization in μB/atom: 0.000
Raw formation energy in kcal/mol of atoms: -29.5

a b c (Å): 4.8268 21.2543 17.0906
angles (deg): 90.00 90.00 90.00
Last column: nearest neighbours and their distance in Å.
Space group Cmc2_1 (No. 36)
Inequivalent atoms, fractional coordinates:
Rb  0.0000  0.0774  0.0000  6 I 3.62-3.77
Rb  0.0000  0.1355  0.6539  6 I 3.72-4.02
Ca  0.0000  0.2332  0.3886  6 I 3.11-3.25
In  0.0000  0.4494  0.8037  4 I 3.36-3.41
I  0.0000  0.0912  0.4314  1 Ca 3.11, 2 In 3.37
I  0.0000  0.2505  0.0141  2 Ca 3.25
I  0.0000  0.2917  0.7675  2 Ca 3.22, 1 In 3.41
I  0.0000  0.3757  0.3417  1 Ca 3.13
I  0.0000  0.4949  0.1200  1 In 3.36, 4 Rb 3.62-3.72

***

6.
Compound: Ba3Cd7Hg4
Source: Alexandria via LeMat-Bulk
Functional: PBE
Structure: optimized geometry

## Properties
Electronic total energy in eV/atom: -1.287
Total magnetization in μB/atom: 0.000

a b c (Å): 18.3049 5.1654 10.2139
angles (deg): 90.00 123.45 90.00
Last column: nearest neighbours and their distance in Å.
Space group C2/m (No. 12)
Inequivalent atoms, fractional coordinates:
Ba  0.0000  0.0000  0.0000  6 Hg 3.61-3.85, 6 Cd 3.65-3.82
Ba  0.2059  0.5000  0.7073  6 Hg 3.51-3.79, 8 Cd 3.53-3.79
Cd  0.0000  0.0000  0.5000  6 Cd 3.00-3.17, 2 Hg 3.03
Cd  0.0021  0.5000  0.3214  1 Hg 3.01, 5 Cd 3.03-3.33
Cd  0.1383  0.0000  0.4280  3 Cd 3.00-3.33, 3 Hg 3.01-3.16
Cd  0.1577  0.5000  0.0122  4 Hg 2.94-3.19, 1 Cd 3.03
Hg  0.1380  0.0000  0.8496  4 Cd 2.98-3.19
Hg  0.1601  0.5000  0.3020  5 Cd 2.94-3.16

***

7.
Compound: TbTmRh
Source: Alexandria via LeMat-Bulk
Functional: PBE
Structure: optimized geometry

## Properties
Total magnetization in μB/atom: 0.000
Relative energy among the computed polymorphs in meV/atom: 8.3

a b c (Å): 4.5856 12.7621 7.3529
angles (deg): 90.00 90.00 90.00
Last column: nearest neighbours and their distance in Å.
Space group Amm2 (No. 38)
Inequivalent atoms, fractional coordinates:
Tb  0.0000  0.0000  0.0000  5 Rh 3.00-3.20, 2 Tm 3.34
Tb  0.0000  0.2040  0.6123  5 Rh 3.01-3.20, 2 Tm 3.34
Tm  0.5000  0.0000  0.6697  4 Rh 2.76-2.99
Tm  0.5000  0.1306  0.2771  4 Rh 2.76-2.99
Rh  0.0000  0.0000  0.4079  6 Tm 2.99, 3 Tb 3.00-3.01
Rh  0.5000  0.1669  0.9076  3 Tm 2.76

***

8.
Compound: Tm2GeAu
Source: Alexandria via LeMat-Bulk
Functional: PBE
Structure: optimized geometry

## Properties
Electronic total energy in eV/atom: -4.980
Total magnetization in μB/atom: 0.000

a b c (Å): 3.5470 3.5470 7.0651
angles (deg): 90.00 90.00 90.00
Last column: nearest neighbours and their distance in Å.
Space group P4/mmm (No. 123)
Inequivalent atoms, fractional coordinates:
Tm  0.0000  0.0000  0.2465  4 Ge 3.05, 4 Au 3.08
Ge  0.5000  0.5000  0.0000  8 Tm 3.05
Au  0.5000  0.5000  0.5000  8 Tm 3.08